Entry i
An optimized crystal structure of SrZr2Sc. Source: Alexandria, functional PBE.

For the density of states at the Fermi level, the calculation gives 7.59 states/eV/f.u. The calculation puts the spin magnetization at 0.00 μB per formula unit.

Unit cell a=3.2737 b=3.2737 c=10.1828 alpha=90.00 beta=90.00 gamma=90.09
Last column: nearest neighbours and their distance in Å.
Fractional positions:
Sc (0.5000, 0.5000, 0.2500)  8 Zr 3.17-3.18, 4 Sc 3.27
Sr (0.5000, 0.5000, 0.7500)  4 Sr 3.27
Zr (0.0000, 0.0000, 0.0366)  4 Sc 3.17-3.18, 4 Zr 3.27
Zr (0.0000, 0.0000, 0.4634)  4 Sc 3.17-3.18, 4 Zr 3.27


Entry ii
An optimized crystal structure of SrZr2Sc. Source: Alexandria, functional PBE.

For the density of states at the Fermi level, the calculation gives 5.13 states/eV/f.u. The calculation puts the spin magnetization at 0.00 μB per formula unit.

Unit cell a=4.9089 b=4.6806 c=4.6806 alpha=90.00 beta=90.00 gamma=90.00
Last column: nearest neighbours and their distance in Å.
Fractional positions:
Sc (0.5000, 0.5000, 0.0000)  4 Sr 3.31, 8 Zr 3.39
Sr (0.5000, 0.0000, 0.5000)  4 Sc 3.31, 8 Zr 3.39
Zr (0.0000, 0.0000, 0.0000)  4 Zr 3.31, 4 Sr 3.39, 4 Sc 3.39
Zr (0.0000, 0.5000, 0.5000)  4 Zr 3.31, 4 Sc 3.39, 4 Sr 3.39


Entry iii
An optimized crystal structure of SrZr2Sc. Source: Alexandria, functional PBE.

For the density of states at the Fermi level, the calculation gives 6.27 states/eV/f.u. The calculation puts the spin magnetization at 0.00 μB per formula unit.

Unit cell a=11.4366 b=11.4366 c=11.4366 alpha=16.75 beta=16.75 gamma=16.75
Last column: nearest neighbours and their distance in Å.
Fractional positions:
Sc (0.2500, 0.2500, 0.2500)  6 Zr 3.18, 6 Sc 3.33
Sr (0.7500, 0.7500, 0.7500)  6 Sr 3.33, 6 Zr 3.65
Zr (0.9915, 0.9915, 0.9915)  3 Sc 3.18, 6 Zr 3.33
Zr (0.5085, 0.5085, 0.5085)  3 Sc 3.18, 6 Zr 3.33


Entry iv
An optimized crystal structure of SrZr2Sc. Source: Alexandria, functional PBE.

For the density of states at the Fermi level, the calculation gives 6.69 states/eV/f.u. The calculation puts the spin magnetization at 0.00 μB per formula unit.

Unit cell a=6.6224 b=6.6224 c=6.6224 alpha=150.24 beta=130.34 gamma=58.98
Last column: nearest neighbours and their distance in Å.
Fractional positions:
Sc (0.2500, 0.7500, 0.5000)  4 Zr 3.14, 4 Sr 3.26, 2 Sc 3.40
Sr (0.7500, 0.2500, 0.5000)  4 Sc 3.26, 2 Sr 3.40, 4 Zr 3.56
Zr (0.0208, 0.0208, 0.0000)  2 Sc 3.14, 6 Zr 3.30-3.40
Zr (0.4792, 0.4792, 0.0000)  2 Sc 3.14, 6 Zr 3.30-3.40


Of them, the most stable is entry i and the least stable is entry ii.